Entry 1:
! TaZn2Re meta-GGA SCAN PBEsol geometry; values from VASP
! **Energy of formation**: 146 meV/atom
! **Density of states at the Fermi level**: 1.9 states/eV/f.u.
! **Energy above the most stable polymorph in this dataset**: 0.118 eV per atom
! **Space-group type**: Pmm2, No. 25
&SYSTEM
  ibrav = 0, nat = 4, ntyp = 3
/
ATOMIC_SPECIES
Ta 180.95 Ta.upf
Re 186.21 Re.upf
Zn 65.41 Zn.upf
ATOMIC_POSITIONS angstrom
Ta 1.324 2.070 4.074
Re 0.000 0.000 2.783
Zn 1.324 2.070 1.328
Zn 0.000 0.000 0.079
CELL_PARAMETERS angstrom
2.649 0.000 0.000
0.000 4.140 0.000
0.000 0.000 5.509

***

Entry 2:
! KLiIN2 meta-GGA SCAN PBEsol geometry; values from VASP
! **Density of states at the Fermi level**: 2.2 states/eV/f.u.
! **Space-group type**: P4/mmm, No. 123
! **Formation energy (no corrections)**: 1.1526 eV per atom
&SYSTEM
  ibrav = 0, nat = 5, ntyp = 4
/
ATOMIC_SPECIES
N 14.01 N.upf
I 126.90 I.upf
Li 6.94 Li.upf
K 39.10 K.upf
ATOMIC_POSITIONS angstrom
N -2.366 -0.363 0.728
N -0.712 -0.157 -2.393
I 0.531 -3.342 0.061
Li -2.547 -3.862 -1.605
K 0.000 0.000 0.000
CELL_PARAMETERS angstrom
-4.732 -0.725 1.455
-1.424 -0.314 -4.787
1.062 -6.684 0.122

***

Among the records above, which one has the lowest density of states at the Fermi level?
TaZn2Re

***

Which value of density of states at the Fermi level does entry 2 give?
2.2 states/eV/f.u.

***

Look up the density of states at the Fermi level of the second one.
2.2 states/eV/f.u.